Ac2InCo: relaxed, PBE.

```
data_Ac2InCo
_cell_length_a 3.784
_cell_length_b 3.784
_cell_length_c 8.281
_cell_angle_alpha 90.00
_cell_angle_beta 90.00
_cell_angle_gamma 90.00
_space_group_name_H-M_alt 'P 4/m m m'
_space_group_IT_number 123
_space_group_name_Hall '-P 4 2'
loop_
_atom_site_label
_atom_site_fract_x
_atom_site_fract_y
_atom_site_fract_z
Ac1 0.000 0.000 0.216
In1 0.500 0.500 0.500
Co1 0.500 0.500 0.000
```

## Properties
Magnetization   0.83 μB per formula unit
Volume   118.6 Å³ per cell
Uncorrected energy   -4.606 eV/atom